# Ho4BiPb

An optimized crystal structure of Ho4BiPb (GGA-PBE, Alexandria via LeMat-Bulk).

Summary:
**Fermi-level density of states**: 1.220 states/eV/atom
**Magnetic moment**: 0.001 μB per formula unit
**Formation energy from the elements**: -2.34 eV per formula unit

a = 6.519 Å, b = 9.096 Å, c = 7.982 Å
α = 113.26°, β = 99.46°, γ = 115.36°
Positions (direct):
Pb: 0.745 0.995 0.990
Pb: 0.255 0.005 0.010
Bi: 0.357 0.607 0.214
Bi: 0.643 0.393 0.786
Ho: 0.344 0.895 0.606
Ho: 0.237 0.289 0.394
Ho: 0.801 0.401 0.199
Ho: 0.102 0.202 0.801
Ho: 0.763 0.711 0.606
Ho: 0.199 0.599 0.801
Ho: 0.656 0.105 0.394
Ho: 0.898 0.798 0.199